(1)
The following is a PBE calculation of an optimized crystal structure of Ce2SmPaSb5, from Alexandria via LeMat-Bulk.

a = 5.391 Å, b = 5.391 Å, c = 11.644 Å
α = 90.00°, β = 90.00°, γ = 90.00°
Atoms (fractional coordinates):
Ce1 0.500 0.500 0.312
Ce2 0.500 0.500 0.688
Pa1 0.000 0.000 0.000
Sb1 0.000 0.500 0.500
Sb2 0.500 0.000 0.500
Sb3 0.000 0.000 0.244
Sb4 0.000 0.000 0.756
Sb5 0.500 0.500 0.000
Sm1 0.000 0.000 0.500

Its theoretical density is 6.23 g/cm³. Its space group is P4/mmm. The value obtained for the uncorrected formation energy is -0.58 eV per formula unit. The value obtained for the density of states at the Fermi level is 2.18 states/eV/atom.

***

(2)
The following is a PBE calculation of an optimized crystal structure of Tb2CePaSb4, from Alexandria via LeMat-Bulk.

a = 4.413 Å, b = 7.658 Å, c = 7.647 Å
α = 109.39°, β = 90.00°, γ = 90.00°
Atoms (fractional coordinates):
Sb1 0.500 0.745 0.747
Sb2 0.000 0.747 0.251
Sb3 0.000 0.253 0.749
Sb4 0.500 0.255 0.253
Tb1 0.500 0.000 0.500
Tb2 0.000 0.500 0.500
Pa1 0.500 0.500 0.000
Ce1 0.000 0.000 0.000

Its theoretical density is 8.01 g/cm³. Its space group is P2/m. The value obtained for the uncorrected formation energy is -7.54 eV per formula unit. The value obtained for the density of states at the Fermi level is 1.62 states/eV/atom.

***

(3)
The following is a PBE calculation of an optimized crystal structure of CeTm2PaSb4, from Alexandria via LeMat-Bulk.

a = 4.383 Å, b = 7.610 Å, c = 7.579 Å
α = 109.42°, β = 90.00°, γ = 90.00°
Atoms (fractional coordinates):
Tm1 0.000 0.500 0.500
Tm2 0.500 0.000 0.500
Sb1 0.500 0.257 0.258
Sb2 0.000 0.251 0.743
Sb3 0.500 0.743 0.742
Sb4 0.000 0.749 0.257
Pa1 0.500 0.500 0.000
Ce1 0.000 0.000 0.000

Its theoretical density is 8.33 g/cm³. Its space group is P2/m. The value obtained for the uncorrected formation energy is -7.18 eV per formula unit. The value obtained for the density of states at the Fermi level is 1.61 states/eV/atom.

***

(4)
The following is a PBE calculation of an optimized crystal structure of CeScPa2, from Alexandria via LeMat-Bulk.

a = 3.877 Å, b = 3.877 Å, c = 8.555 Å
α = 76.90°, β = 76.90°, γ = 60.00°
Atoms (fractional coordinates):
Pa1 0.066 0.066 0.802
Pa2 0.268 0.268 0.197
Sc1 0.501 0.501 0.497
Ce1 0.666 0.666 0.003

Its theoretical density is 10.00 g/cm³. Its space group is R3m. The value obtained for the density of states at the Fermi level is 2.69 states/eV/atom. The energy relative to the elements comes out at 644.7 meV/atom. For the energy above the most stable polymorph in this dataset, the calculation gives 587 meV/atom.

***

(5)
The following is a PBE calculation of an optimized crystal structure of Ce4ScPa, from Alexandria via LeMat-Bulk.

a = 4.766 Å, b = 3.287 Å, c = 9.951 Å
α = 90.00°, β = 90.00°, γ = 90.00°
Atoms (fractional coordinates):
Sc1 0.000 0.500 0.000
Ce1 0.500 0.000 0.169
Ce2 0.500 0.000 0.831
Ce3 0.000 0.500 0.664
Ce4 0.000 0.500 0.336
Pa1 0.500 0.000 0.500

Its theoretical density is 8.91 g/cm³. Its space group is Pmmm. The value obtained for the density of states at the Fermi level is 2.48 states/eV/atom. The energy relative to the elements comes out at 66.0 meV/atom.

***

(6)
The following is a PBE calculation of an optimized crystal structure of CeSc6Pa, from Alexandria via LeMat-Bulk.

a = 4.677 Å, b = 6.514 Å, c = 6.514 Å
α = 89.99°, β = 90.00°, γ = 90.00°
Atoms (fractional coordinates):
Sc1 0.500 0.624 0.871
Sc2 0.500 0.129 0.376
Sc3 0.000 0.380 0.620
Sc4 0.000 0.378 0.132
Sc5 0.500 0.126 0.874
Sc6 0.000 0.868 0.622
Pa1 0.500 0.627 0.373
Ce1 0.000 0.869 0.131

Its theoretical density is 5.36 g/cm³. Its space group is Amm2. The value obtained for the density of states at the Fermi level is 1.62 states/eV/atom. The energy relative to the elements comes out at 75.5 meV/atom.

***

(7)
The following is a PBE calculation of an optimized crystal structure of Ce8Sc3Pa, from Alexandria via LeMat-Bulk.

a = 7.962 Å, b = 7.962 Å, c = 7.962 Å
α = 97.99°, β = 99.42°, γ = 134.22°
Atoms (fractional coordinates):
Ce1 0.506 0.721 0.785
Ce2 0.168 0.753 0.921
Ce3 0.063 0.279 0.784
Ce4 0.168 0.247 0.415
Ce5 0.832 0.247 0.079
Ce6 0.494 0.279 0.216
Ce7 0.832 0.753 0.585
Ce8 0.937 0.721 0.215
Sc1 0.000 0.500 0.500
Sc2 0.500 0.226 0.726
Sc3 0.500 0.774 0.274
Pa1 0.000 0.000 0.000

Its theoretical density is 7.41 g/cm³. Its space group is Immm. The value obtained for the density of states at the Fermi level is 3.01 states/eV/atom. The energy relative to the elements comes out at 336.3 meV/atom.

***

(8)
The following is a PBE calculation of an optimized crystal structure of CeScPa2, from Alexandria via LeMat-Bulk.

a = 3.237 Å, b = 5.645 Å, c = 11.714 Å
α = 97.02°, β = 89.91°, γ = 106.72°
Atoms (fractional coordinates):
Ce1 0.875 0.749 0.802
Ce2 0.125 0.251 0.198
Sc1 0.374 0.747 0.063
Sc2 0.626 0.253 0.937
Pa1 0.121 0.242 0.691
Pa2 0.376 0.752 0.556
Pa3 0.879 0.758 0.309
Pa4 0.624 0.248 0.444

Its theoretical density is 10.57 g/cm³. Its space group is P-1. The value obtained for the density of states at the Fermi level is 2.16 states/eV/atom. The energy relative to the elements comes out at 57.9 meV/atom. For the energy above the most stable polymorph in this dataset, the calculation gives 0 meV/atom.

***

(9)
The following is a PBE calculation of an optimized crystal structure of CeScPa2, from Alexandria via LeMat-Bulk.

a = 5.193 Å, b = 5.193 Å, c = 5.193 Å
α = 60.00°, β = 60.00°, γ = 60.00°
Atoms (fractional coordinates):
Ce1 0.000 0.000 0.000
Pa1 0.750 0.750 0.750
Pa2 0.250 0.250 0.250
Sc1 0.500 0.500 0.500

Its theoretical density is 10.85 g/cm³. Its space group is Fm-3m. The value obtained for the density of states at the Fermi level is 2.66 states/eV/atom. The energy relative to the elements comes out at 327.8 meV/atom. For the energy above the most stable polymorph in this dataset, the calculation gives 270 meV/atom.

***

(10)
The following is a PBE calculation of an optimized crystal structure of CeScPa2, from Alexandria via LeMat-Bulk.

a = 4.826 Å, b = 4.555 Å, c = 4.555 Å
α = 90.00°, β = 90.00°, γ = 90.00°
Atoms (fractional coordinates):
Ce1 0.500 0.500 0.500
Pa1 0.000 0.000 0.500
Pa2 0.000 0.500 0.000
Sc1 0.500 0.000 0.000

Its theoretical density is 10.73 g/cm³. Its space group is P4/mmm. The value obtained for the density of states at the Fermi level is 2.38 states/eV/atom. The energy relative to the elements comes out at 150.2 meV/atom. For the energy above the most stable polymorph in this dataset, the calculation gives 92 meV/atom.

***

(11)
The following is a PBE calculation of an optimized crystal structure of CeScPa2, from Alexandria via LeMat-Bulk.

a = 3.099 Å, b = 3.099 Å, c = 10.179 Å
α = 90.00°, β = 90.00°, γ = 90.00°
Atoms (fractional coordinates):
Ce1 0.500 0.500 0.000
Pa1 0.000 0.000 0.749
Pa2 0.000 0.000 0.251
Sc1 0.500 0.500 0.500

Its theoretical density is 10.99 g/cm³. Its space group is P4/mmm. The value obtained for the density of states at the Fermi level is 1.82 states/eV/atom. The energy relative to the elements comes out at 102.7 meV/atom. For the energy above the most stable polymorph in this dataset, the calculation gives 45 meV/atom.

***

(12)
The following is a PBE calculation of an optimized crystal structure of Ce2ScPaSe4, from Alexandria via LeMat-Bulk.

a = 4.046 Å, b = 7.118 Å, c = 7.075 Å
α = 108.87°, β = 90.00°, γ = 90.00°
Atoms (fractional coordinates):
Pa1 0.500 0.500 0.000
Ce1 0.000 0.500 0.500
Ce2 0.500 0.000 0.500
Se1 0.000 0.244 0.763
Se2 0.500 0.766 0.770
Se3 0.500 0.234 0.230
Se4 0.000 0.756 0.237
Sc1 0.000 0.000 0.000

Its theoretical density is 7.51 g/cm³. Its space group is P2/m. The value obtained for the uncorrected formation energy is -12.73 eV per formula unit. The value obtained for the density of states at the Fermi level is 1.97 states/eV/atom.